(1)
First-principles (PBE) data for an optimized crystal structure of PmZr2FeN4, as listed in the Alexandria database.

```
data_PmZr2FeN4
_space_group_name_H-M_alt 'C m c m'
_space_group_IT_number 63
_space_group_name_Hall '-C 2c 2'
_cell_length_a 3.2671
_cell_length_b 11.1200
_cell_length_c 11.1170
_cell_angle_alpha 90.00
_cell_angle_beta 90.00
_cell_angle_gamma 90.00
loop_
_atom_site_label
_atom_site_type_symbol
_atom_site_fract_x
_atom_site_fract_y
_atom_site_fract_z
Pm1 Pm 0.0000 0.1057 0.2500
Zr1 Zr 0.0000 0.3677 0.0505
Fe1 Fe 0.0000 0.1568 0.7500
N1 N 0.0000 0.0000 0.0000
N2 N 0.0000 0.2676 0.6172
N3 N 0.0000 0.4380 0.2500
```

Output
The value obtained for the total DFT energy (no corrections) is -9.206 eV/atom.

---

(2)
First-principles (PBE) data for an optimized crystal structure of YRuSe2, as listed in the Alexandria database.

```
data_YRuSe2
_space_group_name_H-M_alt 'I m m 2'
_space_group_IT_number 44
_cell_length_a 3.5943
_cell_length_b 3.6524
_cell_length_c 12.2183
_cell_angle_alpha 90.00
_cell_angle_beta 90.00
_cell_angle_gamma 90.00
loop_
_space_group_symop_operation_xyz
'x,y,z'
'-x,-y,z'
'-x,y,z'
'x,-y,z'
'x+1/2,y+1/2,z+1/2'
'-x+1/2,-y+1/2,z+1/2'
'-x+1/2,y+1/2,z+1/2'
'x+1/2,-y+1/2,z+1/2'
loop_
_atom_site_label
_atom_site_type_symbol
_atom_site_fract_x
_atom_site_fract_y
_atom_site_fract_z
Y1 Y 0.0000 0.0000 0.0000
Ru1 Ru 0.0000 0.5000 0.7384
Se1 Se 0.0000 0.0000 0.4027
Se2 Se 0.0000 0.5000 0.1777
```

Output
The polymorph energy (0 for the lowest one) comes out at 76 meV/atom.

---

Please write out number 1 again, unchanged.
First-principles (PBE) data for an optimized crystal structure of PmZr2FeN4, as listed in the Alexandria database.

```
data_PmZr2FeN4
_space_group_name_H-M_alt 'C m c m'
_space_group_IT_number 63
_space_group_name_Hall '-C 2c 2'
_cell_length_a 3.2671
_cell_length_b 11.1200
_cell_length_c 11.1170
_cell_angle_alpha 90.00
_cell_angle_beta 90.00
_cell_angle_gamma 90.00
loop_
_atom_site_label
_atom_site_type_symbol
_atom_site_fract_x
_atom_site_fract_y
_atom_site_fract_z
Pm1 Pm 0.0000 0.1057 0.2500
Zr1 Zr 0.0000 0.3677 0.0505
Fe1 Fe 0.0000 0.1568 0.7500
N1 N 0.0000 0.0000 0.0000
N2 N 0.0000 0.2676 0.6172
N3 N 0.0000 0.4380 0.2500
```

Output
The value obtained for the total DFT energy (no corrections) is -9.206 eV/atom.